# La2MgHS, relaxed, DFT PBE-GGA
data_La2MgHS
_chemical_formula_sum 'La2 Mg1 H1 S1'
_symmetry_space_group_name_H-M 'P 1'
_symmetry_Int_Tables_number 1
_cell_length_a 5.766
_cell_length_b 3.610
_cell_length_c 5.766
_cell_angle_alpha 90.00
_cell_angle_beta 90.00
_cell_angle_gamma 90.00
loop_
_symmetry_equiv_pos_as_xyz
'x,y,z'
loop_
_atom_site_label
_atom_site_type_symbol
_atom_site_fract_x
_atom_site_fract_y
_atom_site_fract_z
_atom_site_occupancy
H1 H 0.000 0.500 0.000 1
S1 S 0.500 0.500 0.500 1
Mg1 Mg 0.000 0.000 0.000 1
La1 La 0.000 0.000 0.500 1
La2 La 0.500 0.000 0.000 1
# space group = P4/mmm (123)
# calculated total energy = -3.814 eV per atom
# mass density = 4.64 g/cm3